Below is crystalline Li2NiPt at its relaxed geometry, with properties calculated at the GGA-PBEsol level.

Output
**Energy relative to the lowest polymorph listed for this composition**: 36 meV/atom
**V**: 50 Å³ per cell
**ΔE_f**: -28 kJ per mole of atoms
**Size of the total moment**: 0.0 μB/f.u.

Cell and atoms, written as extended XYZ:
```
4
Lattice="4.624 -1.322 0.000 4.624 1.322 0.000 -1.969 0.000 4.062" Properties=species:S:1:pos:R:3 pbc="T T T"
Li 0.000 0.000 0.000
Li 0.402 0.000 3.675
Ni 3.609 0.000 1.919
Pt 6.125 0.000 1.738
```

Below is crystalline Li2NiPt at its relaxed geometry, with properties calculated at the GGA-PBEsol level.

Output
**Energy relative to the lowest polymorph listed for this composition**: 27 meV/atom
**V**: 49 Å³ per cell
**ΔE_f**: -28 kJ per mole of atoms
**Size of the total moment**: 0.0 μB/f.u.

Cell and atoms, written as extended XYZ:
```
4
Lattice="2.528 -4.223 0.000 2.528 4.223 0.000 -1.215 0.000 2.313" Properties=species:S:1:pos:R:3 pbc="T T T"
Li 1.264 2.111 0.000
Li 1.264 -2.111 0.000
Ni -0.607 0.000 1.156
Pt 1.921 0.000 1.156
```

Below is crystalline Li2NiPt at its relaxed geometry, with properties calculated at the GGA-PBEsol level.

Output
**Energy relative to the lowest polymorph listed for this composition**: 0 meV/atom
**V**: 49 Å³ per cell
**ΔE_f**: -31 kJ per mole of atoms
**Size of the total moment**: 0.0 μB/f.u.

Cell and atoms, written as extended XYZ:
```
4
Lattice="-1.356 2.147 4.184 1.356 -2.147 4.184 1.356 2.147 -4.184" Properties=species:S:1:pos:R:3 pbc="T T T"
Li 0.000 0.000 2.020
Li 0.000 0.000 6.349
Ni 1.356 0.000 0.000
Pt 0.000 2.147 0.000
```

Below is crystalline LiNiPt2 at its relaxed geometry, with properties calculated at the GGA-PBEsol level.

Output
**V**: 54 Å³ per cell
**ΔE_f**: -9 kJ per mole of atoms
**Size of the total moment**: 0.9 μB/f.u.

Cell and atoms, written as extended XYZ:
```
4
Lattice="1.335 0.771 8.770 -1.335 0.771 8.770 0.000 -1.541 8.770" Properties=species:S:1:pos:R:3 pbc="T T T"
Li 0.000 0.000 0.000
Ni 0.000 0.000 19.677
Pt 0.000 0.000 6.651
Pt 0.000 0.000 12.978
```

Below is crystalline LiNiPt2 at its relaxed geometry, with properties calculated at the GGA-PBEsol level.

Output
**V**: 50 Å³ per cell
**ΔE_f**: -27 kJ per mole of atoms
**Size of the total moment**: 0.0 μB/f.u.

Cell and atoms, written as extended XYZ:
```
4
Lattice="2.714 0.000 0.000 0.000 4.291 0.000 0.000 0.000 4.333" Properties=species:S:1:pos:R:3 pbc="T T T"
Li 0.000 0.000 0.000
Ni 0.000 2.145 2.476
Pt 1.357 0.000 2.186
Pt 1.357 2.145 0.288
```

Below is crystalline LiNiPt2 at its relaxed geometry, with properties calculated at the GGA-PBEsol level.

Output
**V**: 51 Å³ per cell
**ΔE_f**: -33 kJ per mole of atoms
**Size of the total moment**: 0.0 μB/f.u.

Cell and atoms, written as extended XYZ:
```
4
Lattice="2.695 -3.520 0.000 2.695 3.520 0.000 0.000 0.000 2.678" Properties=species:S:1:pos:R:3 pbc="T T T"
Li 0.000 0.000 0.000
Ni 2.695 0.000 0.000
Pt 1.347 1.760 1.339
Pt 1.347 -1.760 1.339
```

Below is crystalline Li2NiPt at its relaxed geometry, with properties calculated at the GGA-PBEsol level.

Output
**Energy relative to the lowest polymorph listed for this composition**: 7 meV/atom
**V**: 49 Å³ per cell
**ΔE_f**: -30 kJ per mole of atoms
**Size of the total moment**: 0.0 μB/f.u.

Cell and atoms, written as extended XYZ:
```
4
Lattice="2.713 0.000 0.000 0.000 4.202 0.000 0.000 0.000 4.294" Properties=species:S:1:pos:R:3 pbc="T T T"
Li 0.000 0.000 0.000
Li 1.357 0.000 2.147
Ni 0.000 2.101 2.147
Pt 1.357 2.101 0.000
```

Below is crystalline Li2NiPt at its relaxed geometry, with properties calculated at the GGA-PBEsol level.

Output
**Energy relative to the lowest polymorph listed for this composition**: 24 meV/atom
**V**: 49 Å³ per cell
**ΔE_f**: -29 kJ per mole of atoms
**Size of the total moment**: 0.0 μB/f.u.

Cell and atoms, written as extended XYZ:
```
4
Lattice="2.607 0.000 0.000 0.000 4.220 0.000 -0.233 0.000 4.480" Properties=species:S:1:pos:R:3 pbc="T T T"
Li 0.510 0.000 1.118
Li 1.864 0.000 3.362
Ni -0.117 2.110 2.240
Pt 1.303 2.110 0.000
```

Below is crystalline LiNiPt2 at its relaxed geometry, with properties calculated at the GGA-PBEsol level.

Output
**V**: 51 Å³ per cell
**ΔE_f**: -30 kJ per mole of atoms
**Size of the total moment**: 0.0 μB/f.u.

Cell and atoms, written as extended XYZ:
```
4
Lattice="3.824 0.000 0.000 0.000 3.824 0.000 0.000 0.000 3.464" Properties=species:S:1:pos:R:3 pbc="T T T"
Li 0.000 0.000 0.000
Ni 1.912 1.912 0.000
Pt 0.000 1.912 1.732
Pt 1.912 0.000 1.732
```

Below is crystalline LiNiPt2 at its relaxed geometry, with properties calculated at the GGA-PBEsol level.

Output
**V**: 51 Å³ per cell
**ΔE_f**: -25 kJ per mole of atoms
**Size of the total moment**: 1.3 μB/f.u.

Cell and atoms, written as extended XYZ:
```
4
Lattice="-1.910 1.910 3.515 1.910 -1.910 3.515 1.910 1.910 -3.515" Properties=species:S:1:pos:R:3 pbc="T T T"
Li 0.000 0.000 0.000
Ni 0.000 0.000 3.515
Pt 1.910 0.000 1.757
Pt 0.000 1.910 1.757
```

Below is crystalline LiNiPt2 at its relaxed geometry, with properties calculated at the GGA-PBEsol level.

Output
**V**: 53 Å³ per cell
**ΔE_f**: -20 kJ per mole of atoms
**Size of the total moment**: 0.5 μB/f.u.

Cell and atoms, written as extended XYZ:
```
4
Lattice="2.711 0.000 0.000 0.000 4.287 0.000 0.000 0.000 4.568" Properties=species:S:1:pos:R:3 pbc="T T T"
Li 0.000 0.000 0.000
Ni 1.356 0.000 2.284
Pt 0.000 2.144 2.284
Pt 1.356 2.144 0.000
```

Below is crystalline RbLi3Ni at its relaxed geometry, with properties calculated at the GGA-PBEsol level.

Output
**V**: 123 Å³ per cell
**ΔE_f**: 33 kJ per mole of atoms
**Size of the total moment**: 0.0 μB/f.u.

Cell and atoms, written as extended XYZ:
```
5
Lattice="4.976 0.000 0.000 0.000 4.976 0.000 0.000 0.000 4.976" Properties=species:S:1:pos:R:3 pbc="T T T"
Rb 0.000 0.000 0.000
Li 0.000 2.488 2.488
Li 2.488 0.000 2.488
Li 2.488 2.488 0.000
Ni 2.488 2.488 2.488
```